[1]
The following is a DFT calculation (PBE) of BW2I after structural relaxation.

Cell: 4.4046 4.4046 4.4046 Å, 60.00 60.00 60.00°
With the nearest neighbours (Å) after each atom.
Element x y z (fractional)
B 0.0000 0.0000 0.0000  8 W 2.70
W 0.2500 0.2500 0.2500  4 I 2.70, 4 B 2.70
W 0.7500 0.7500 0.7500  4 B 2.70, 4 I 2.70
I 0.5000 0.5000 0.5000  8 W 2.70

Calculated values
The calculation puts the excess energy over the best structure of this formula in the dataset at 21.1 kJ per mole of atoms. The formation energy (no corrections) is 1.431 eV/atom.



[2]
The following is a DFT calculation (PBE) of Li4GeS4 after structural relaxation.

Cell: 6.7645 6.7645 6.7645 Å, 127.99 127.99 76.64°
With the nearest neighbours (Å) after each atom.
Element x y z (fractional)
Li 0.0000 0.5000 0.5000  4 S 2.50
Li 0.2135 0.2135 0.0000  4 S 2.49-2.58
Li 0.5000 0.0000 0.5000  4 S 2.50
Li 0.7865 0.7865 0.0000  4 S 2.49-2.58
Ge 0.5000 0.5000 0.0000  4 S 2.23
S 0.1615 0.5898 0.0000  1 Ge 2.23, 3 Li 2.49-2.50
S 0.4102 0.4102 0.5717  1 Ge 2.23, 3 Li 2.49-2.50
S 0.5898 0.1615 0.0000  1 Ge 2.23, 3 Li 2.49-2.50
S 0.8385 0.8385 0.4283  1 Ge 2.23, 3 Li 2.49-2.50

Calculated values
The calculation puts the excess energy over the best structure of this formula in the dataset at 6.1 kJ per mole of atoms. The formation energy (no corrections) is -0.998 eV/atom.



[3]
The following is a DFT calculation (PBE) of Nd2Tl2O7 after structural relaxation.

Cell: 5.7381 5.7381 5.2383 Å, 90.00 90.00 94.04°
With the nearest neighbours (Å) after each atom.
Element x y z (fractional)
Nd 0.2393 0.2393 0.0000  6 O 2.29-2.44
Nd 0.7607 0.7607 0.0000  6 O 2.29-2.44
Tl 0.2311 0.7689 0.5000  7 O 2.26-2.40
Tl 0.7689 0.2311 0.5000  7 O 2.26-2.40
O 0.0000 0.0000 0.2511  2 Nd 2.29, 2 Tl 2.34
O 0.0000 0.0000 0.7489  2 Nd 2.29, 2 Tl 2.34
O 0.0000 0.5000 0.2365  2 Tl 2.40, 2 Nd 2.44, 1 O 2.48
O 0.0000 0.5000 0.7635  2 Tl 2.40, 2 Nd 2.44, 1 O 2.48
O 0.5000 0.0000 0.2365  2 Tl 2.40, 2 Nd 2.44, 1 O 2.48
O 0.5000 0.0000 0.7635  2 Tl 2.40, 2 Nd 2.44, 1 O 2.48
O 0.5000 0.5000 0.5000  2 Tl 2.26

Calculated values
The formation energy (no corrections) is -1.510 eV/atom.



[4]
The following is a DFT calculation (PBE) of ZnInCl3 after structural relaxation.

Cell: 7.2551 8.4469 10.1367 Å, 90.00 90.00 90.00°
With the nearest neighbours (Å) after each atom.
Element x y z (fractional)
Zn 0.2024 0.1782 0.0000  4 Cl 2.24-2.38
Zn 0.2976 0.6782 0.5000  4 Cl 2.24-2.38
Zn 0.7024 0.3218 0.0000  4 Cl 2.24-2.38
Zn 0.7976 0.8218 0.5000  4 Cl 2.24-2.38
In 0.1181 0.6031 0.8755  5 Cl 3.09-3.40
In 0.3819 0.1031 0.3755  5 Cl 3.09-3.40
In 0.6181 0.8969 0.8755  5 Cl 3.09-3.40
In 0.8819 0.3969 0.3755  5 Cl 3.09-3.40
Cl 0.0520 0.7716 0.3654  2 Zn 2.33-2.38
Cl 0.1968 0.3464 0.1745  1 Zn 2.27
Cl 0.2505 0.4209 0.5424  1 Zn 2.24
Cl 0.2495 0.9209 0.0424  1 Zn 2.24
Cl 0.3031 0.8464 0.6745  1 Zn 2.27
Cl 0.4480 0.2716 0.8654  2 Zn 2.33-2.38
Cl 0.5520 0.7284 0.3654  2 Zn 2.33-2.38
Cl 0.6968 0.1536 0.1745  1 Zn 2.27
Cl 0.7505 0.0791 0.5424  1 Zn 2.24
Cl 0.7495 0.5791 0.0424  1 Zn 2.24
Cl 0.8032 0.6536 0.6745  1 Zn 2.27
Cl 0.9480 0.2284 0.8654  2 Zn 2.33-2.38

Calculated values
The calculation puts the excess energy over the best structure of this formula in the dataset at 0.9 kJ per mole of atoms. The formation energy (no corrections) is -1.016 eV/atom.



- Number 1 is which compound?
  BW2I



- Among the records above, which one has the highest formation energy (no corrections)?
  BW2I